1.
First-principles (meta-GGA SCAN) data for a PBEsol-optimized structure of Li3Ru, as listed in Alexandria.

Computed properties:
D(E_F) in states/eV/cell: 2.3
V in Å³/cell: 58.95
DFT total energy in eV/f.u.: -41.42
DFT formation energy in eV/atom: 0.14
Crystal system: tetragonal

```
data_Li3Ru
_cell_length_a 2.5241
_cell_length_b 2.5241
_cell_length_c 9.2533
_cell_angle_alpha 90.00
_cell_angle_beta 90.00
_cell_angle_gamma 90.00
_space_group_name_H-M_alt 'P 4/m m m'
_space_group_IT_number 123
_space_group_name_Hall '-P 4 2'
loop_
_atom_site_label
_atom_site_type_symbol
_atom_site_fract_x
_atom_site_fract_y
_atom_site_fract_z
Li1 Li 0.0000 0.0000 0.0000
Li2 Li 0.5000 0.5000 0.2765
Ru1 Ru 0.0000 0.0000 0.5000
```

=====

2.
First-principles (meta-GGA SCAN) data for a PBEsol-optimized structure of LiRu, as listed in Alexandria.

Computed properties:
D(E_F) in states/eV/cell: 4.2
V in Å³/cell: 107.47
DFT total energy in eV/f.u.: -36.99
DFT formation energy in eV/atom: 0.11
Crystal system: monoclinic

```
data_LiRu
_cell_length_a 8.4008
_cell_length_b 2.6007
_cell_length_c 4.9393
_cell_angle_alpha 90.00
_cell_angle_beta 95.18
_cell_angle_gamma 90.00
_space_group_name_H-M_alt 'C 1 2/m 1'
_space_group_IT_number 12
loop_
_space_group_symop_operation_xyz
'x,y,z'
'-x,-y,-z'
'-x,y,-z'
'x,-y,z'
'x+1/2,y+1/2,z'
'-x+1/2,-y+1/2,-z'
'-x+1/2,y+1/2,-z'
'x+1/2,-y+1/2,z'
loop_
_atom_site_label
_atom_site_type_symbol
_atom_site_fract_x
_atom_site_fract_y
_atom_site_fract_z
Li1 Li 0.1218 0.0000 0.3984
Ru1 Ru 0.1265 0.5000 0.9146
```

=====

3.
First-principles (meta-GGA SCAN) data for a PBEsol-optimized structure of Li3RuS, as listed in Alexandria.

Computed properties:
D(E_F) in states/eV/cell: 1.8
V in Å³/cell: 86.68
DFT total energy in eV/f.u.: -51.17
Uncorrected formation energy in meV per atom: 90
Crystal system: cubic

```
data_Li3RuS
_cell_length_a 4.4256
_cell_length_b 4.4256
_cell_length_c 4.4256
_cell_angle_alpha 90.00
_cell_angle_beta 90.00
_cell_angle_gamma 90.00
_space_group_name_H-M_alt 'P m -3 m'
_space_group_IT_number 221
_space_group_name_Hall '-P 4 2 3'
loop_
_atom_site_label
_atom_site_type_symbol
_atom_site_fract_x
_atom_site_fract_y
_atom_site_fract_z
Li1 Li 0.0000 0.0000 0.5000
Ru1 Ru 0.5000 0.5000 0.5000
S1 S 0.0000 0.0000 0.0000
```